Entry 1:
Density functional theory data (PBE) for a relaxed structure of YCoBr2.

Output
- Distance to the lowest polymorph of the same formula: 0.530 eV per atom
- Total magnetization: 1.8 μB per cell
- D(E_F): 1.7256 states/eV/atom
- Symmetry: I4/mmm (139)
- Formation energy without anion corrections: -0.216 eV per atom

a b c (Å): 5.201 5.201 5.201
angles (deg): 127.00 127.00 78.25
Each line ends with the local moment (μB).
Positions (direct):
Br1 0.000 0.000 0.000  0.04
Br2 0.500 0.500 0.000  0.04
Co1 0.250 0.750 0.500  1.78
Y1 0.750 0.250 0.500  -0.09


Entry 2:
Density functional theory data (PBE) for a relaxed structure of LaPmCo.

Output
- Distance to the lowest polymorph of the same formula: 0.028 eV per atom
- Total magnetization: 0.0 μB per cell
- D(E_F): 0.9086 states/eV/atom
- Symmetry: P3m1 (156)
- Formation energy from the elements: -0.2 eV per formula unit

a b c (Å): 6.421 4.020 4.020
angles (deg): 120.00 90.00 90.00
Positions (direct):
La1 0.773 0.667 0.333
Co1 0.997 0.000 0.000
Pm1 0.230 0.333 0.667


Entry 3:
Density functional theory data (PBE) for a relaxed structure of ReSi2Ru2.

Output
- Distance to the lowest polymorph of the same formula: 0.000 eV per atom
- Total magnetization: 0.0 μB per cell
- D(E_F): 0.9088 states/eV/atom
- Symmetry: P4/mbm (127)
- Formation energy without anion corrections: -0.299 eV per atom

a b c (Å): 6.944 6.944 2.773
angles (deg): 90.00 90.00 90.00
Positions (direct):
Re1 0.000 0.000 0.000
Re2 0.500 0.500 0.000
Si1 0.357 0.857 0.000
Si2 0.857 0.643 0.000
Si3 0.643 0.143 0.000
Si4 0.143 0.357 0.000
Ru1 0.157 0.657 0.500
Ru2 0.657 0.843 0.500
Ru3 0.843 0.343 0.500
Ru4 0.343 0.157 0.500


Entry 4:
Density functional theory data (PBE) for a relaxed structure of Pa2ZnSi.

Output
- Distance to the lowest polymorph of the same formula: 0.015 eV per atom
- Total magnetization: 0.0 μB per cell
- D(E_F): 1.4319 states/eV/atom
- Symmetry: P4/mmm (123)
- Formation energy without anion corrections: -0.188 eV per atom

a b c (Å): 4.186 4.430 4.430
angles (deg): 90.00 90.00 90.00
Positions (direct):
Zn1 0.500 0.500 0.500
Pa1 0.000 0.000 0.500
Pa2 0.000 0.500 0.000
Si1 0.500 0.000 0.000